Computed, not measured: an optimized crystal structure of Ce3PaN6 at the PBE level of DFT.

Results
formation energy without anion corrections = -1.27 eV per atom
energy above the lowest structure with this stoichiometry = 0.000 eV per atom
crystal system = trigonal

abc: 6.0551 6.0551 14.8369
angles: 90.00 90.00 120.00
Space group R3 (No. 146, hexagonal axes)
Asymmetric unit:
Ce  0.0000  0.0000  0.0000
Ce  0.0000  0.0000  0.2293
Ce  0.0000  0.0000  0.7306
Pa  0.0000  0.0000  0.5039
N  0.0059  0.7249  0.6095
N  0.0160  0.2973  0.1129

Computed, not measured: an optimized crystal structure of Li2CoSnOs at the PBE level of DFT.

Results
energy above the lowest structure with this stoichiometry = 0.000 eV per atom
formation energy from the elements = 599 meV/atom
crystal system = tetragonal

abc: 4.2329 4.2329 4.5346
angles: 90.00 90.00 90.00
Space group P4/mmm (No. 123)
Asymmetric unit:
Li  0.0000  0.5000  0.0000
Co  0.0000  0.0000  0.0000
Sn  0.5000  0.5000  0.5000
Os  0.0000  0.0000  0.5000

Computed, not measured: an optimized crystal structure of Ta3V2Mo3 at the PBE level of DFT.

Results
formation energy from the elements = -138 meV/atom
crystal system = orthorhombic

abc: 3.1962 4.5482 17.7426
angles: 90.00 90.00 90.00
Space group Immm (No. 71)
Asymmetric unit:
Ta  0.0000  0.0000  0.0000
Ta  0.0000  0.5000  0.1282
V  0.0000  0.0000  0.2457
Mo  0.0000  0.0000  0.5000
Mo  0.0000  0.5000  0.3680

Computed, not measured: an optimized crystal structure of K2HgBr at the PBE level of DFT.

Results
formation energy without anion corrections = -0.88 eV per atom
energy above the lowest structure with this stoichiometry = 0.024 eV per atom
crystal system = trigonal

abc: 4.6043 4.6043 26.7126
angles: 90.00 90.00 120.00
Space group R3m (No. 160, hexagonal axes)
Asymmetric unit:
K  0.0000  0.0000  0.0000
K  0.0000  0.0000  0.1842
Hg  0.0000  0.0000  0.4251
Br  0.0000  0.0000  0.5919

Computed, not measured: an optimized crystal structure of AlRe2 at the PBE level of DFT.

Results
formation energy from the elements = 53 meV/atom
crystal system = tetragonal

abc: 6.0421 6.0421 4.7964
angles: 90.00 90.00 90.00
Space group I4/mcm (No. 140)
Asymmetric unit:
Al  0.0000  0.0000  0.2500
Re  0.1462  0.3538  0.0000

Computed, not measured: an optimized crystal structure of SrHgP2Cl at the PBE level of DFT.

Results
formation energy without anion corrections = 0.31 eV per atom
energy above the lowest structure with this stoichiometry = 0.376 eV per atom
crystal system = tetragonal

abc: 6.2893 6.2893 5.5733
angles: 90.00 90.00 90.00
Space group P4/mmm (No. 123)
Asymmetric unit:
Sr  0.0000  0.0000  0.0000
Hg  0.5000  0.5000  0.5000
P  0.0000  0.5000  0.0000
Cl  0.0000  0.0000  0.5000

Computed, not measured: an optimized crystal structure of LiCa2Os at the PBE level of DFT.

Results
formation energy from the elements = 415 meV/atom
crystal system = orthorhombic

abc: 7.3249 7.3383 3.3457
angles: 90.00 90.00 90.00
Space group Cmmm (No. 65)
Asymmetric unit:
Li  0.0000  0.0000  0.0000
Ca  0.2500  0.2500  0.5000
Os  0.0000  0.5000  0.0000

Computed, not measured: an optimized crystal structure of KLaMn2 at the PBE level of DFT.

Results
energy above the lowest structure with this stoichiometry = 0.164 eV per atom
formation energy from the elements = 650 meV/atom
crystal system = monoclinic

abc: 3.6933 4.1446 8.1137
angles: 90.00 90.25 90.00
Space group P2/m (No. 10)
Asymmetric unit:
K  0.0000  0.0000  0.0000
La  0.0000  0.0000  0.5000
Mn  0.4985  0.5000  0.3266

Computed, not measured: an optimized crystal structure of La2BeIn2 at the PBE level of DFT.

Results
formation energy from the elements = -155 meV/atom
crystal system = tetragonal

abc: 7.1715 7.1715 5.2679
angles: 90.00 90.00 90.00
Space group P4/mbm (No. 127)
Asymmetric unit:
La  0.1678  0.3322  0.0000
Be  0.0000  0.0000  0.5000
In  0.1468  0.6468  0.5000

Computed, not measured: an optimized crystal structure of Mg30CdCuO32 at the PBE level of DFT.

Results
formation energy without anion corrections = -2.57 eV per atom
crystal system = tetragonal

abc: 8.5760 8.5760 8.5203
angles: 90.00 90.00 90.00
Space group P4/mmm (No. 123)
Asymmetric unit:
Mg  0.0000  0.0000  0.0000
Mg  0.0000  0.0000  0.5000
Mg  0.0000  0.2498  0.2494
Mg  0.0000  0.5000  0.0000
Mg  0.0000  0.5000  0.5000
Mg  0.2469  0.5000  0.2458
Mg  0.2476  0.2476  0.5000
Mg  0.2506  0.2506  0.0000
Cd  0.5000  0.5000  0.5000
Cu  0.5000  0.5000  0.0000
O  0.0000  0.0000  0.2500
O  0.0000  0.2483  0.5000
O  0.0000  0.2487  0.0000
O  0.0000  0.5000  0.2497
O  0.2380  0.5000  0.5000
O  0.2402  0.5000  0.0000
O  0.2508  0.2508  0.2503
O  0.5000  0.5000  0.2311

Computed, not measured: an optimized crystal structure of LaTl2F5 at the PBE level of DFT.

Results
formation energy without anion corrections = -2.96 eV per atom
crystal system = orthorhombic

abc: 11.5473 7.9004 7.0751
angles: 90.00 90.00 90.00
Space group Pnma (No. 62)
Asymmetric unit:
La  0.0023  0.2500  0.0599
Tl  0.1712  0.0033  0.5156
F  0.0184  0.2500  0.3913
F  0.0758  0.5318  0.1452
F  0.1688  0.2500  0.8726
F  0.1949  0.7500  0.8485

Computed, not measured: an optimized crystal structure of ScCd2Hg at the PBE level of DFT.

Results
formation energy from the elements = -50 meV/atom
crystal system = trigonal

abc: 3.3917 3.3917 28.4870
angles: 90.00 90.00 120.00
Space group R-3m (No. 166, hexagonal axes)
Asymmetric unit:
Sc  0.0000  0.0000  0.0000
Cd  0.0000  0.0000  0.2496
Hg  0.0000  0.0000  0.5000

Computed, not measured: an optimized crystal structure of Ac2La at the PBE level of DFT.

Results
energy above the lowest structure with this stoichiometry = 0.000 eV per atom
formation energy from the elements = 17 meV/atom
crystal system = tetragonal

abc: 3.9182 3.9182 16.5648
angles: 90.00 90.00 90.00
Space group I4/mmm (No. 139)
Asymmetric unit:
Ac  0.0000  0.0000  0.1628
La  0.0000  0.0000  0.5000

Computed, not measured: an optimized crystal structure of ZrMoSe2 at the PBE level of DFT.

Results
formation energy without anion corrections = -0.39 eV per atom
energy above the lowest structure with this stoichiometry = 0.205 eV per atom
crystal system = orthorhombic

abc: 3.3242 3.3651 6.9119
angles: 90.00 90.00 90.00
Space group Pmmm (No. 47)
Asymmetric unit:
Zr  0.0000  0.0000  0.0000
Mo  0.5000  0.0000  0.5000
Se  0.5000  0.5000  0.2229

Computed, not measured: an optimized crystal structure of Sr2TcAs at the PBE level of DFT.

Results
formation energy from the elements = 478 meV/atom
crystal system = tetragonal

abc: 8.4776 8.4776 6.3334
angles: 90.00 90.00 90.00
Space group I-42d (No. 122)
Asymmetric unit:
Sr  0.2370  0.2500  0.1250
Tc  0.0000  0.0000  0.5000
As  0.0000  0.0000  0.0000

Computed, not measured: an optimized crystal structure of MgPaTi2 at the PBE level of DFT.

Results
energy above the lowest structure with this stoichiometry = 0.010 eV per atom
formation energy from the elements = 164 meV/atom
crystal system = tetragonal

abc: 4.9550 4.9550 3.2092
angles: 90.00 90.00 90.00
Space group P4/mmm (No. 123)
Asymmetric unit:
Mg  0.0000  0.0000  0.0000
Pa  0.5000  0.5000  0.0000
Ti  0.0000  0.5000  0.5000

Computed, not measured: an optimized crystal structure of BeCr2Os at the PBE level of DFT.

Results
formation energy from the elements = 292 meV/atom
crystal system = orthorhombic

abc: 2.8729 4.1794 7.9928
angles: 90.00 90.00 90.00
Space group Cmmm (No. 65)
Asymmetric unit:
Be  0.0000  0.0000  0.0000
Cr  0.0000  0.5000  0.2320
Os  0.0000  0.0000  0.5000

Computed, not measured: an optimized crystal structure of LaTcAg3 at the PBE level of DFT.

Results
energy above the lowest structure with this stoichiometry = 0.000 eV per atom
formation energy from the elements = 713 meV/atom
crystal system = cubic

abc: 5.0640 5.0640 5.0640
angles: 90.00 90.00 90.00
Space group Pm-3m (No. 221)
Asymmetric unit:
La  0.0000  0.0000  0.0000
Tc  0.5000  0.5000  0.5000
Ag  0.0000  0.5000  0.5000

Computed, not measured: an optimized crystal structure of Li2CuSiO4 at the PBE level of DFT.

Results
formation energy without anion corrections = -1.98 eV per atom
energy above the lowest structure with this stoichiometry = 0.008 eV per atom
crystal system = orthorhombic

abc: 6.2958 5.3323 4.9630
angles: 90.00 90.00 90.00
Space group Pmn2_1 (No. 31)
Asymmetric unit:
Li  0.2494  0.1696  0.0000
Cu  0.0000  0.6843  0.9884
Si  0.0000  0.3412  0.5081
O  0.0000  0.3344  0.8406
O  0.0000  0.6348  0.4030
O  0.2143  0.1908  0.4016

Computed, not measured: an optimized crystal structure of NaCaCdHg2 at the PBE level of DFT.

Results
formation energy from the elements = -255 meV/atom
crystal system = trigonal

abc: 5.2300 5.2300 6.0068
angles: 90.00 90.00 120.00
Space group P3m1 (No. 156)
Asymmetric unit:
Na  0.0000  0.0000  0.0000
Ca  0.3333  0.6667  0.5774
Cd  0.6667  0.3333  0.2887
Hg  0.0000  0.0000  0.4866
Hg  0.6667  0.3333  0.8005

Computed, not measured: an optimized crystal structure of ScTc2Ir at the PBE level of DFT.

Results
energy above the lowest structure with this stoichiometry = 0.232 eV per atom
formation energy from the elements = 40 meV/atom
crystal system = tetragonal

abc: 3.1590 3.1590 6.3465
angles: 90.00 90.00 90.00
Space group P4/mmm (No. 123)
Asymmetric unit:
Sc  0.0000  0.0000  0.0000
Tc  0.5000  0.5000  0.2624
Ir  0.0000  0.0000  0.5000

Computed, not measured: an optimized crystal structure of Pu3Mn3Ge8 at the PBE level of DFT.

Results
formation energy from the elements = -208 meV/atom
crystal system = orthorhombic

abc: 4.1787 10.1730 11.8434
angles: 90.00 90.00 90.00
Space group Immm (No. 71)
Asymmetric unit:
Pu  0.0000  0.0000  0.0000
Pu  0.0000  0.0000  0.3231
Mn  0.0000  0.2003  0.5000
Mn  0.0000  0.5000  0.0000
Ge  0.0000  0.2955  0.1231
Ge  0.0000  0.3688  0.3441